First-principles (PBE) data for a relaxed structure of CsCrGa2, as listed in Alexandria via LeMat-Bulk. Values from VASP.

```
&SYSTEM
  ibrav = 0, nat = 4, ntyp = 3
/
ATOMIC_SPECIES
Cs 132.91 Cs.upf
Cr 52.00 Cr.upf
Ga 69.72 Ga.upf
CELL_PARAMETERS angstrom
0.000 3.612 3.612
3.612 0.000 3.612
3.612 3.612 0.000
ATOMIC_POSITIONS angstrom
Cs 0.000 0.000 0.000
Cr 3.612 3.612 3.612
Ga 1.806 1.806 1.806
Ga 5.418 5.418 5.418
```

Results
**M_tot**: 4.5 μB/cell
**Space group**: Fm-3m
**E_tot**: -3.33 eV per atom
**Formation energy**: 77 kJ per mole of atoms

---

First-principles (PBE) data for a relaxed structure of CsCr2Ga2, as listed in Alexandria via LeMat-Bulk. Values from VASP.

```
&SYSTEM
  ibrav = 0, nat = 5, ntyp = 3
/
ATOMIC_SPECIES
Cs 132.91 Cs.upf
Cr 52.00 Cr.upf
Ga 69.72 Ga.upf
CELL_PARAMETERS angstrom
-1.645 1.645 10.218
1.645 -1.645 10.218
1.645 1.645 -10.218
ATOMIC_POSITIONS angstrom
Cs 0.000 0.000 0.000
Cr 1.645 0.000 5.109
Cr 0.000 1.645 5.109
Ga 0.000 0.000 7.255
Ga 0.000 0.000 13.182
```

Results
**M_tot**: 0.0 μB/cell
**Space group**: I4/mmm
**E_tot**: -4.75 eV per atom
**Formation energy**: 47 kJ per mole of atoms